1.
This record from the Alexandria database describes crystalline CsBeNF2 at its relaxed geometry. The functional is PBE.

Computed properties:
SG: P4/mmm
Formation energy without anion corrections in eV/atom: -0.986

Cell: 3.693 3.693 4.523 Å, 90.00 90.00 90.00°
Fractional positions:
Cs  0.000  0.000  0.000
Be  0.500  0.500  0.500
N  0.500  0.500  0.000
F  0.000  0.500  0.500
F  0.500  0.000  0.500

***

2.
This record from the Alexandria database describes crystalline CsBeNF2 at its relaxed geometry. The functional is PBE.

Computed properties:
SG: P4/mmm
Formation energy without anion corrections in eV/atom: 0.774

Cell: 5.315 5.315 4.993 Å, 90.00 90.00 90.00°
Fractional positions:
Cs  0.000  0.000  0.000
Be  0.500  0.500  0.500
N  0.000  0.000  0.500
F  0.000  0.500  0.000
F  0.500  0.000  0.000

***

3.
This record from the Alexandria database describes crystalline CsNa2BeF6 at its relaxed geometry. The functional is PBE.

Computed properties:
SG: C2/c
Formation energy without anion corrections in eV/atom: -2.592

Cell: 6.856 6.856 7.826 Å, 108.79 108.79 95.45°
Fractional positions:
Cs  0.138  0.862  0.750
Cs  0.862  0.138  0.250
Na  0.291  0.403  0.813
Na  0.403  0.291  0.313
Na  0.597  0.709  0.687
Na  0.709  0.597  0.187
Be  0.234  0.766  0.250
Be  0.766  0.234  0.750
F  0.057  0.768  0.334
F  0.201  0.535  0.097
F  0.232  0.943  0.166
F  0.278  0.465  0.540
F  0.465  0.278  0.040
F  0.465  0.799  0.403
F  0.535  0.201  0.597
F  0.535  0.722  0.960
F  0.722  0.535  0.460
F  0.768  0.057  0.834
F  0.799  0.465  0.903
F  0.943  0.232  0.666

***

4.
This record from the Alexandria database describes crystalline CsBeO2F at its relaxed geometry. The functional is PBE.

Computed properties:
SG: P4/mmm
Formation energy without anion corrections in eV/atom: 0.661

Cell: 4.359 4.359 5.369 Å, 90.00 90.00 90.00°
Fractional positions:
Cs  0.000  0.000  0.000
Be  0.500  0.500  0.500
O  0.000  0.500  0.000
O  0.500  0.000  0.000
F  0.000  0.000  0.500

***

5.
This record from the Alexandria database describes crystalline CsBeOF2 at its relaxed geometry. The functional is PBE.

Computed properties:
SG: P4/mmm
Formation energy without anion corrections in eV/atom: 0.058

Cell: 5.169 5.169 4.348 Å, 90.00 90.00 90.00°
Fractional positions:
Cs  0.000  0.000  0.000
Be  0.500  0.500  0.500
O  0.000  0.000  0.500
F  0.000  0.500  0.000
F  0.500  0.000  0.000

***

6.
This record from the Alexandria database describes crystalline CsPmBe2F8 at its relaxed geometry. The functional is PBE.

Computed properties:
SG: R-3
Formation energy without anion corrections in eV/atom: -3.487

Cell: 9.052 9.052 9.052 Å, 33.94 33.94 33.94°
Fractional positions:
Cs  0.000  0.000  0.000
Pm  0.500  0.500  0.500
Be  0.243  0.243  0.243
Be  0.757  0.757  0.757
F  0.071  0.756  0.516
F  0.244  0.484  0.929
F  0.302  0.302  0.302
F  0.484  0.929  0.244
F  0.516  0.071  0.756
F  0.698  0.698  0.698
F  0.756  0.516  0.071
F  0.929  0.244  0.484